Li5ThTl6: optimized geometry, PBE-GGA.

Computed properties:
DOS(E_F) in states/eV/f.u.: 4.89
Formation enthalpy at 0 K in meV/atom: -184

Cell and atoms, written as CIF:
```
data_Li5ThTl6
_chemical_formula_sum 'Li5 Th1 Tl6'
_cell_length_a 4.9415
_cell_length_b 7.4777
_cell_length_c 7.8860
_cell_angle_alpha 90.00
_cell_angle_beta 107.40
_cell_angle_gamma 90.00
_space_group_name_H-M_alt 'P 1 2/m 1'
_space_group_IT_number 10
loop_
_space_group_symop_operation_xyz
'x,y,z'
'-x,-y,-z'
'-x,y,-z'
'x,-y,z'
loop_
_atom_site_label
_atom_site_type_symbol
_atom_site_fract_x
_atom_site_fract_y
_atom_site_fract_z
Li1 Li 0.0000 0.0000 0.0000
Li2 Li 0.3278 0.5000 0.6517
Li3 Li 0.3297 0.0000 0.6603
Th1 Th 0.0000 0.5000 0.0000
Tl1 Tl 0.1719 0.2348 0.3446
Tl2 Tl 0.5000 0.2162 0.0000
```

MgIrF: optimized geometry, PBE-GGA.

Computed properties:
Excess energy over the best structure of this formula in the dataset in meV/atom: 1482.9
ΔE_f (raw) in eV/atom: -0.189
DOS(E_F) in states/eV/f.u.: 2.18

Cell and atoms, written as CIF:
```
data_MgIrF
_chemical_formula_sum 'Mg2 Ir2 F2'
_cell_length_a 3.3835
_cell_length_b 3.3835
_cell_length_c 7.4579
_cell_angle_alpha 90.00
_cell_angle_beta 90.00
_cell_angle_gamma 90.00
_space_group_name_H-M_alt 'P 4/n m m'
_space_group_IT_number 129
loop_
_space_group_symop_operation_xyz
'x,y,z'
'-x,-y,-z'
'-y+1/2,x,z'
'y+1/2,-x,-z'
'-x+1/2,-y+1/2,z'
'x+1/2,y+1/2,-z'
'y,-x+1/2,z'
'-y,x+1/2,-z'
'x+1/2,-y,-z'
'-x+1/2,y,z'
'-y,-x,-z'
'y,x,z'
'-x,y+1/2,-z'
'x,-y+1/2,z'
'y+1/2,x+1/2,-z'
'-y+1/2,-x+1/2,z'
loop_
_atom_site_label
_atom_site_type_symbol
_atom_site_fract_x
_atom_site_fract_y
_atom_site_fract_z
Mg1 Mg 0.2500 0.2500 0.1092
Ir1 Ir 0.2500 0.2500 0.7196
F1 F 0.2500 0.7500 0.5000
```

Pm12Ho5Sn2: optimized geometry, PBE-GGA.

Computed properties:
DOS(E_F) in states/eV/f.u.: 24.69
Formation enthalpy at 0 K in meV/atom: -87

Cell and atoms, written as CIF:
```
data_Pm12Ho5Sn2
_chemical_formula_sum 'Pm24 Ho10 Sn4'
_cell_length_a 15.3154
_cell_length_b 9.5640
_cell_length_c 8.5329
_cell_angle_alpha 90.00
_cell_angle_beta 93.07
_cell_angle_gamma 90.00
_space_group_name_H-M_alt 'C 1 2/m 1'
_space_group_IT_number 12
loop_
_space_group_symop_operation_xyz
'x,y,z'
'-x,-y,-z'
'-x,y,-z'
'x,-y,z'
'x+1/2,y+1/2,z'
'-x+1/2,-y+1/2,-z'
'-x+1/2,y+1/2,-z'
'x+1/2,-y+1/2,z'
loop_
_atom_site_label
_atom_site_type_symbol
_atom_site_fract_x
_atom_site_fract_y
_atom_site_fract_z
Pm1 Pm 0.0517 0.0000 0.3096
Pm2 Pm 0.0815 0.5000 0.8824
Pm3 Pm 0.1214 0.1964 0.6521
Pm4 Pm 0.1515 0.3161 0.2309
Ho1 Ho 0.0000 0.5000 0.5000
Ho2 Ho 0.1784 0.0000 0.9999
Ho3 Ho 0.2348 0.5000 0.5883
Sn1 Sn 0.0000 0.1934 0.0000
```

Mg3HgI8: optimized geometry, PBE-GGA.

Computed properties:
ΔE_f (raw) in eV/atom: -0.832

Cell and atoms, written as CIF:
```
data_Mg3HgI8
_chemical_formula_sum 'Mg6 Hg2 I16'
_cell_length_a 14.7186
_cell_length_b 8.5040
_cell_length_c 9.1854
_cell_angle_alpha 90.00
_cell_angle_beta 122.84
_cell_angle_gamma 90.00
_space_group_name_H-M_alt 'C 1 2/m 1'
_space_group_IT_number 12
loop_
_space_group_symop_operation_xyz
'x,y,z'
'-x,-y,-z'
'-x,y,-z'
'x,-y,z'
'x+1/2,y+1/2,z'
'-x+1/2,-y+1/2,-z'
'-x+1/2,y+1/2,-z'
'x+1/2,-y+1/2,z'
loop_
_atom_site_label
_atom_site_type_symbol
_atom_site_fract_x
_atom_site_fract_y
_atom_site_fract_z
Mg1 Mg 0.0000 0.0000 0.0000
Mg2 Mg 0.2500 0.2500 0.0000
Hg1 Hg 0.0000 0.5000 0.0000
I1 I 0.0115 0.2417 0.7796
I2 I 0.2400 0.0000 0.2165
I3 I 0.2465 0.5000 0.2204
```